Entry from Alexandria via LeMat-Bulk: an optimized crystal structure of TbTmHgAu (GGA-PBE).

- energy of formation from the pure elements (kJ per mole of atoms) = -64.0
- E (eV/atom) = -3.833
- total moment (Bohr magnetons per cell) = 0.00
- space-group type = F-43m, No. 216

Lattice parameters (Å, degrees): 7.290 7.290 7.290 90.00 90.00 90.00
Positions (direct):
Tb (0.000, 0.000, 0.000)
Tb (0.000, 0.500, 0.500)
Tb (0.500, 0.000, 0.500)
Tb (0.500, 0.500, 0.000)
Tm (0.000, 0.000, 0.500)
Tm (0.000, 0.500, 0.000)
Tm (0.500, 0.000, 0.000)
Tm (0.500, 0.500, 0.500)
Hg (0.250, 0.250, 0.750)
Hg (0.250, 0.750, 0.250)
Hg (0.750, 0.250, 0.250)
Hg (0.750, 0.750, 0.750)
Au (0.250, 0.250, 0.250)
Au (0.250, 0.750, 0.750)
Au (0.750, 0.250, 0.750)
Au (0.750, 0.750, 0.250)